# GGA-PBEsol TlTeBr2, optimized geometry
data_TlTeBr2
_chemical_formula_sum 'Tl4 Te4 Br8'
_cell_length_a 7.7118
_cell_length_b 7.7118
_cell_length_c 7.7118
_cell_angle_alpha 90.00
_cell_angle_beta 90.00
_cell_angle_gamma 90.00
_space_group_name_H-M_alt 'F m -3 m'
_space_group_IT_number 225
_space_group_name_Hall '-F 4 2 3'
loop_
_atom_site_label
_atom_site_fract_x
_atom_site_fract_y
_atom_site_fract_z
Tl1 0.0000 0.0000 0.0000
Te1 0.0000 0.0000 0.5000
Br1 0.2500 0.2500 0.2500
# Excess energy over the best structure of this formula in the dataset, meV per atom: 209
# Energy relative to the elements, uncorrected, meV per atom: -24

=====

# GGA-PBEsol Mg2Nb2CrO8, optimized geometry
data_Mg2Nb2CrO8
_chemical_formula_sum 'Mg8 Nb8 Cr4 O32'
_cell_length_a 18.6948
_cell_length_b 5.8966
_cell_length_c 5.1610
_cell_angle_alpha 90.00
_cell_angle_beta 90.22
_cell_angle_gamma 90.00
_space_group_name_H-M_alt 'C 1 2/c 1'
_space_group_IT_number 15
loop_
_space_group_symop_operation_xyz
'x,y,z'
'-x,-y,-z'
'-x,y,-z+1/2'
'x,-y,z+1/2'
'x+1/2,y+1/2,z'
'-x+1/2,-y+1/2,-z'
'-x+1/2,y+1/2,-z+1/2'
'x+1/2,-y+1/2,z+1/2'
loop_
_atom_site_label
_atom_site_fract_x
_atom_site_fract_y
_atom_site_fract_z
Mg1 0.2280 0.1435 0.2452
Nb1 0.1138 0.3410 0.7513
Cr1 0.0000 0.1354 0.2500
O1 0.0554 0.1212 0.5810
O2 0.0657 0.3741 0.0940
O3 0.1852 0.4004 0.4517
O4 0.1905 0.1437 0.8822
# Energy relative to the elements, uncorrected, meV per atom: -2447

=====

# GGA-PBEsol BaBr, optimized geometry
data_BaBr
_chemical_formula_sum 'Ba2 Br2'
_cell_length_a 5.1534
_cell_length_b 5.1534
_cell_length_c 8.3351
_cell_angle_alpha 90.00
_cell_angle_beta 90.00
_cell_angle_gamma 120.00
_space_group_name_H-M_alt 'P -3 m 1'
_space_group_IT_number 164
_space_group_name_Hall '-P 3 2"'
loop_
_atom_site_label
_atom_site_fract_x
_atom_site_fract_y
_atom_site_fract_z
Ba1 0.3333 0.6667 0.2224
Br1 0.3333 0.6667 0.6321
# Energy relative to the elements, uncorrected, meV per atom: -1483

=====

# GGA-PBEsol IrOs2Pb, optimized geometry
data_IrOs2Pb
_chemical_formula_sum 'Ir1 Os2 Pb1'
_cell_length_a 4.0087
_cell_length_b 4.0087
_cell_length_c 3.9574
_cell_angle_alpha 90.00
_cell_angle_beta 90.00
_cell_angle_gamma 90.00
_space_group_name_H-M_alt 'P 4/m m m'
_space_group_IT_number 123
_space_group_name_Hall '-P 4 2'
loop_
_atom_site_label
_atom_site_fract_x
_atom_site_fract_y
_atom_site_fract_z
Ir1 0.0000 0.0000 0.0000
Os1 0.0000 0.5000 0.5000
Pb1 0.5000 0.5000 0.0000
# Total energy, eV/atom: -8.622

=====

# GGA-PBEsol BaVS3, optimized geometry
data_BaVS3
_chemical_formula_sum 'Ba4 V4 S12'
_cell_length_a 6.6258
_cell_length_b 11.5226
_cell_length_c 5.5050
_cell_angle_alpha 90.00
_cell_angle_beta 90.00
_cell_angle_gamma 90.00
_space_group_name_H-M_alt 'C 2 2 21'
_space_group_IT_number 20
loop_
_space_group_symop_operation_xyz
'x,y,z'
'-x,-y,z+1/2'
'x,-y,-z'
'-x,y,-z+1/2'
'x+1/2,y+1/2,z'
'-x+1/2,-y+1/2,z+1/2'
'x+1/2,-y+1/2,-z'
'-x+1/2,y+1/2,-z+1/2'
loop_
_atom_site_label
_atom_site_fract_x
_atom_site_fract_y
_atom_site_fract_z
Ba1 0.0000 0.1700 0.2500
V1 0.0379 0.5000 0.0000
S1 0.0000 0.3362 0.7500
S2 0.2484 0.0823 0.7620
# Energy relative to the elements, uncorrected, meV per atom: -1433

=====

# GGA-PBEsol BaNi2Te, optimized geometry
data_BaNi2Te
_chemical_formula_sum 'Ba1 Ni2 Te1'
_cell_length_a 4.6817
_cell_length_b 4.6817
_cell_length_c 3.6714
_cell_angle_alpha 90.00
_cell_angle_beta 90.00
_cell_angle_gamma 90.00
_space_group_name_H-M_alt 'P 4/m m m'
_space_group_IT_number 123
_space_group_name_Hall '-P 4 2'
loop_
_atom_site_label
_atom_site_fract_x
_atom_site_fract_y
_atom_site_fract_z
Ba1 0.0000 0.0000 0.0000
Ni1 0.0000 0.5000 0.5000
Te1 0.5000 0.5000 0.0000
# Energy relative to the elements, uncorrected, meV per atom: 210